{
  "formula": "LiAs2I6",
  "functional": "PBE",
  "state": "relaxed",
  "final_energy_ha_per_atom": -0.0928,
  "de_polymorph_ev_per_atom": 0.043,
  "formation_energy_uncorrected_ev_per_atom": -0.25,
  "sg": "C2/c",
  "cell": [[6.7850, -7.1861, 0.0000], [6.7850, 7.1861, 0.0000], [-2.4540, 0.0000, 8.6378]],
  "species": ["Li", "Li", "As", "As", "As", "As", "I", "I", "I", "I", "I", "I", "I", "I", "I", "I", "I", "I"],
  "fractional_positions": [[0.0579, 0.9421, 0.7500], [0.9421, 0.0579, 0.2500], [0.2137, 0.4452, 0.7554], [0.4452, 0.2137, 0.2554], [0.5548, 0.7863, 0.7446], [0.7863, 0.5548, 0.2446], [0.0392, 0.6257, 0.8179], [0.0623, 0.1730, 0.5910], [0.1730, 0.0623, 0.0910], [0.3042, 0.5199, 0.5311], [0.3743, 0.9608, 0.6821], [0.4801, 0.6958, 0.9689], [0.5199, 0.3042, 0.0311], [0.6257, 0.0392, 0.3179], [0.6958, 0.4801, 0.4689], [0.8270, 0.9377, 0.9090], [0.9377, 0.8270, 0.4090], [0.9608, 0.3743, 0.1821]]
}

=====

{
  "formula": "SrNdAl4",
  "functional": "PBE",
  "state": "relaxed",
  "final_energy_ha_per_atom": -0.1444,
  "formation_energy_ev_per_fu": -2.2,
  "sg": "F-43m",
  "cell": [[0.0000, 4.0707, 4.0707], [4.0707, 0.0000, 4.0707], [4.0707, 4.0707, 0.0000]],
  "species": ["Sr", "Nd", "Al", "Al", "Al", "Al"],
  "fractional_positions": [[0.0000, 0.0000, 0.0000], [0.7500, 0.7500, 0.7500], [0.3754, 0.3754, 0.3754], [0.3754, 0.3754, 0.8737], [0.3754, 0.8737, 0.3754], [0.8737, 0.3754, 0.3754]]
}

=====

{
  "formula": "Ba2ZnCd3",
  "functional": "PBE",
  "state": "relaxed",
  "final_energy_ha_per_atom": -0.0585,
  "formation_energy_ev_per_fu": -1.7,
  "sg": "Fmmm",
  "cell": [[0.0000, 5.0199, 8.7530], [4.5352, 0.0000, 8.7530], [4.5352, 5.0199, 0.0000]],
  "species": ["Ba", "Ba", "Ba", "Ba", "Zn", "Zn", "Cd", "Cd", "Cd", "Cd", "Cd", "Cd"],
  "fractional_positions": [[0.2472, 0.7528, 0.7528], [0.2500, 0.2500, 0.2500], [0.7500, 0.7500, 0.7500], [0.7528, 0.2472, 0.2472], [0.3332, 0.3332, 0.6668], [0.6668, 0.6668, 0.3332], [0.1710, 0.1710, 0.8290], [0.1720, 0.6571, 0.3429], [0.3429, 0.8280, 0.1720], [0.6571, 0.1720, 0.8280], [0.8280, 0.3429, 0.6571], [0.8290, 0.8290, 0.1710]]
}

=====

{
  "formula": "Hg3GeAs",
  "functional": "PBE",
  "state": "relaxed",
  "final_energy_ha_per_atom": -0.0541,
  "de_polymorph_ev_per_atom": 0.000,
  "formation_energy_ev_per_fu": 2.8,
  "sg": "Pm-3m",
  "cell": [[5.2989, 0.0000, 0.0000], [0.0000, 5.2989, 0.0000], [0.0000, 0.0000, 5.2989]],
  "species": ["Hg", "Hg", "Hg", "Ge", "As"],
  "fractional_positions": [[0.0000, 0.0000, 0.5000], [0.0000, 0.5000, 0.0000], [0.5000, 0.0000, 0.0000], [0.0000, 0.0000, 0.0000], [0.5000, 0.5000, 0.5000]]
}

=====

{
  "formula": "Tm2ZnGa6",
  "functional": "PBE",
  "state": "relaxed",
  "final_energy_ha_per_atom": -0.1253,
  "formation_energy_ev_per_fu": -2.3,
  "sg": "C2/m",
  "cell": [[7.5517, -3.6711, 0.0000], [7.5517, 3.6711, 0.0000], [-0.4143, 0.0000, 3.2745]],
  "species": ["Tm", "Tm", "Zn", "Ga", "Ga", "Ga", "Ga", "Ga", "Ga"],
  "fractional_positions": [[0.1999, 0.1999, 0.0092], [0.8001, 0.8001, 0.9908], [0.5000, 0.5000, 0.5000], [0.1745, 0.5363, 0.5430], [0.1805, 0.8195, 0.0000], [0.4637, 0.8255, 0.4570], [0.5363, 0.1745, 0.5430], [0.8195, 0.1805, 0.0000], [0.8255, 0.4637, 0.4570]]
}

=====

{
  "formula": "Tm3Tl3GeSe8",
  "functional": "PBE",
  "state": "relaxed",
  "final_energy_ha_per_atom": -0.1697,
  "formation_energy_uncorrected_ev_per_atom": -1.08,
  "sg": "C2/m",
  "cell": [[7.0343, -4.0623, 0.0000], [7.0343, 4.0623, 0.0000], [-4.6946, 0.0000, 7.7995]],
  "species": ["Tm", "Tm", "Tm", "Tl", "Tl", "Tl", "Ge", "Se", "Se", "Se", "Se", "Se", "Se", "Se", "Se"],
  "fractional_positions": [[0.0000, 0.0000, 0.0000], [0.0000, 0.5000, 0.0000], [0.5000, 0.0000, 0.0000], [0.0000, 0.5000, 0.5000], [0.5000, 0.0000, 0.5000], [0.5000, 0.5000, 0.5000], [0.5000, 0.5000, 0.0000], [0.2346, 0.2346, 0.2037], [0.2492, 0.7218, 0.1927], [0.2783, 0.2783, 0.8074], [0.2782, 0.7508, 0.8073], [0.7218, 0.2492, 0.1927], [0.7217, 0.7217, 0.1926], [0.7508, 0.2782, 0.8073], [0.7654, 0.7654, 0.7963]]
}

=====

{
  "formula": "RuRh",
  "functional": "PBE",
  "state": "relaxed",
  "final_energy_ha_per_atom": -0.2762,
  "formation_energy_ev_per_fu": 1.6,
  "sg": "P4_2/mnm",
  "cell": [[5.0213, 0.0000, 0.0000], [0.0000, 5.0213, 0.0000], [0.0000, 0.0000, 5.0407]],
  "species": ["Ru", "Ru", "Ru", "Ru", "Rh", "Rh", "Rh", "Rh"],
  "fractional_positions": [[0.1771, 0.1771, 0.0000], [0.3229, 0.6771, 0.5000], [0.6771, 0.3229, 0.5000], [0.8229, 0.8229, 0.0000], [0.1849, 0.1849, 0.5000], [0.3151, 0.6849, 0.0000], [0.6849, 0.3151, 0.0000], [0.8151, 0.8151, 0.5000]]
}

=====

{
  "formula": "RbNaTcF6",
  "functional": "PBE",
  "state": "relaxed",
  "final_energy_ha_per_atom": -0.1909,
  "formation_energy_uncorrected_ev_per_atom": -2.54,
  "sg": "P-31c",
  "cell": [[5.8539, 0.0000, 0.0000], [-2.9270, 5.0697, 0.0000], [0.0000, 0.0000, 11.6483]],
  "species": ["Rb", "Rb", "Na", "Na", "Tc", "Tc", "F", "F", "F", "F", "F", "F", "F", "F", "F", "F", "F", "F"],
  "fractional_positions": [[0.0000, 0.0000, 0.0000], [0.0000, 0.0000, 0.5000], [0.3333, 0.6667, 0.2500], [0.6667, 0.3333, 0.7500], [0.3333, 0.6667, 0.7500], [0.6667, 0.3333, 0.2500], [0.0479, 0.3959, 0.6546], [0.0479, 0.6520, 0.8454], [0.3480, 0.3959, 0.8454], [0.3480, 0.9521, 0.6546], [0.3959, 0.0479, 0.1546], [0.3959, 0.3480, 0.3454], [0.6041, 0.6520, 0.6546], [0.6041, 0.9521, 0.8454], [0.6520, 0.0479, 0.3454], [0.6520, 0.6041, 0.1546], [0.9521, 0.3480, 0.1546], [0.9521, 0.6041, 0.3454]]
}

=====

{
  "formula": "RbGeNO2",
  "functional": "PBE",
  "state": "relaxed",
  "final_energy_ha_per_atom": -0.1861,
  "formation_energy_uncorrected_ev_per_atom": -0.30,
  "sg": "P4/mmm",
  "cell": [[3.9515, 0.0000, 0.0000], [0.0000, 3.9515, 0.0000], [0.0000, 0.0000, 4.1344]],
  "species": ["Rb", "Ge", "N", "O", "O"],
  "fractional_positions": [[0.0000, 0.0000, 0.0000], [0.5000, 0.5000, 0.5000], [0.5000, 0.5000, 0.0000], [0.0000, 0.5000, 0.5000], [0.5000, 0.0000, 0.5000]]
}

=====

{
  "formula": "Hg2Se",
  "functional": "PBE",
  "state": "relaxed",
  "final_energy_ha_per_atom": -0.0484,
  "de_polymorph_ev_per_atom": 0.137,
  "formation_energy_uncorrected_ev_per_atom": 0.05,
  "sg": "R-3m",
  "cell": [[2.1313, 1.2305, 5.0553], [-2.1313, 1.2305, 5.0553], [0.0000, -2.4610, 5.0553]],
  "species": ["Hg", "Hg", "Se"],
  "fractional_positions": [[0.2278, 0.2278, 0.2278], [0.7722, 0.7722, 0.7722], [0.0000, 0.0000, 0.0000]]
}

=====

{
  "formula": "Ba3GaP",
  "functional": "PBE",
  "state": "relaxed",
  "final_energy_ha_per_atom": -0.1274,
  "de_polymorph_ev_per_atom": 0.000,
  "formation_energy_ev_per_fu": -3.1,
  "sg": "P-1",
  "cell": [[4.8225, 0.0000, 0.0000], [0.0053, 8.9172, 0.0000], [0.0032, 0.6416, 9.3512]],
  "species": ["Ba", "Ba", "Ba", "Ba", "Ba", "Ba", "Ga", "Ga", "P", "P"],
  "fractional_positions": [[0.2494, 0.2930, 0.0807], [0.2502, 0.9672, 0.6762], [0.2510, 0.6325, 0.3683], [0.7490, 0.3675, 0.6317], [0.7498, 0.0328, 0.3238], [0.7506, 0.7070, 0.9193], [0.2504, 0.9252, 0.0612], [0.7496, 0.0748, 0.9388], [0.2494, 0.2615, 0.4370], [0.7506, 0.7385, 0.5630]]
}

=====

{
  "formula": "ZrCd2Pt",
  "functional": "PBE",
  "state": "relaxed",
  "final_energy_ha_per_atom": -0.1606,
  "formation_energy_ev_per_fu": -1.1,
  "sg": "P2/m",
  "cell": [[2.9472, 0.0000, 0.0000], [0.0000, 4.8859, 0.0000], [-0.9903, 0.0000, 5.4526]],
  "species": ["Zr", "Cd", "Cd", "Pt"],
  "fractional_positions": [[0.0000, 0.0000, 0.0000], [0.3602, 0.5000, 0.7389], [0.6398, 0.5000, 0.2611], [0.5000, 0.0000, 0.5000]]
}

=====

{
  "formula": "B2C",
  "functional": "PBE",
  "state": "relaxed",
  "final_energy_ha_per_atom": -0.2593,
  "de_polymorph_ev_per_atom": 0.285,
  "formation_energy_ev_per_fu": 1.4,
  "sg": "P-3m1",
  "cell": [[2.5204, 0.0000, 0.0000], [-1.2602, 2.1827, 0.0000], [0.0000, 0.0000, 7.5308]],
  "species": ["B", "B", "B", "B", "C", "C"],
  "fractional_positions": [[0.0000, 0.0000, 0.1110], [0.0000, 0.0000, 0.8890], [0.3333, 0.6667, 0.2545], [0.6667, 0.3333, 0.7455], [0.3333, 0.6667, 0.4646], [0.6667, 0.3333, 0.5354]]
}

=====

{
  "formula": "NaZrAu2",
  "functional": "PBE",
  "state": "relaxed",
  "final_energy_ha_per_atom": -0.1646,
  "de_polymorph_ev_per_atom": 0.004,
  "formation_energy_ev_per_fu": -1.5,
  "sg": "P4/mmm",
  "cell": [[3.3693, 0.0000, 0.0000], [0.0000, 3.3693, 0.0000], [0.0000, 0.0000, 7.5744]],
  "species": ["Na", "Zr", "Au", "Au"],
  "fractional_positions": [[0.0000, 0.0000, 0.0000], [0.0000, 0.0000, 0.5000], [0.5000, 0.5000, 0.2804], [0.5000, 0.5000, 0.7196]]
}

=====

{
  "formula": "PaNiP2Rh2",
  "functional": "PBE",
  "state": "relaxed",
  "final_energy_ha_per_atom": -0.2726,
  "formation_energy_ev_per_fu": -3.7,
  "sg": "I4/mmm",
  "cell": [[-1.9525, 1.9525, 6.7680], [1.9525, -1.9525, 6.7680], [1.9525, 1.9525, -6.7680]],
  "species": ["Pa", "Ni", "P", "P", "Rh", "Rh"],
  "fractional_positions": [[0.0000, 0.0000, 0.0000], [0.5000, 0.5000, 0.0000], [0.3461, 0.3461, 0.0000], [0.6539, 0.6539, 0.0000], [0.2500, 0.7500, 0.5000], [0.7500, 0.2500, 0.5000]]
}

=====

{
  "formula": "Er3Tm2Ag2",
  "functional": "PBE",
  "state": "relaxed",
  "final_energy_ha_per_atom": -0.1528,
  "de_polymorph_ev_per_atom": 0.059,
  "formation_energy_ev_per_fu": -0.8,
  "sg": "C2/m",
  "cell": [[4.5737, -2.6396, 0.0000], [4.5737, 2.6396, 0.0000], [-3.0382, 0.0000, 7.6047]],
  "species": ["Er", "Er", "Er", "Tm", "Tm", "Ag", "Ag"],
  "fractional_positions": [[0.0000, 0.0000, 0.0000], [0.1601, 0.1601, 0.4804], [0.8399, 0.8399, 0.5196], [0.4245, 0.4245, 0.2729], [0.5755, 0.5755, 0.7271], [0.2873, 0.2873, 0.8630], [0.7127, 0.7127, 0.1370]]
}

=====

{
  "formula": "MgCoNiSb",
  "functional": "PBE",
  "state": "relaxed",
  "final_energy_ha_per_atom": -0.1754,
  "formation_energy_uncorrected_ev_per_atom": -0.12,
  "sg": "F-43m",
  "cell": [[0.0000, 3.0735, 3.0735], [3.0735, 0.0000, 3.0735], [3.0735, 3.0735, 0.0000]],
  "species": ["Mg", "Co", "Ni", "Sb"],
  "fractional_positions": [[0.0000, 0.0000, 0.0000], [0.2500, 0.2500, 0.2500], [0.7500, 0.7500, 0.7500], [0.5000, 0.5000, 0.5000]]
}